Below is a relaxed Li2Re crystal, with properties calculated at the PBE level.

The energy above the lowest structure with this stoichiometry comes out at 12 meV/atom. For the total energy, the calculation gives -5.219 eV/atom. The crystal system is orthorhombic. As for the energy of formation: 0.21 eV per atom.

Lattice parameters (Å, degrees): 8.3542 8.3542 4.4068 90.00 90.00 162.50
Element x y z (fractional)
Li (0.1153, 0.8847, 0.7500)
Li (0.1964, 0.8036, 0.2500)
Li (0.8036, 0.1964, 0.7500)
Li (0.8847, 0.1153, 0.2500)
Re (0.4610, 0.5390, 0.7500)
Re (0.5390, 0.4610, 0.2500)